Material: NaHfSeBr2
Method: DFT, PBE-GGA
State: optimized geometry

Lattice parameters (Å, degrees): 4.9385 4.9385 5.4197 90.00 90.00 90.00
With the nearest neighbours (Å) after each atom.
Fractional coordinates of all 5 atoms:
Na (0.0000, 0.0000, 0.0000)  4 Br 2.47, 2 Se 2.71
Hf (0.5000, 0.5000, 0.5000)  4 Se 3.49, 8 Br 3.67
Se (0.0000, 0.0000, 0.5000)  2 Na 2.71
Br (0.0000, 0.5000, 0.0000)  2 Na 2.47
Br (0.5000, 0.0000, 0.0000)  2 Na 2.47

Output
As for the space-group type: No. 123. For the uncorrected energy, the calculation gives -3.486 eV per atom. For the density, the calculation gives 5.5 Mg/m³.